Material: LiZnGaSi
Method: DFT, PBE
State: relaxed

abc: 4.478 4.478 4.478
angles: 60.00 60.00 60.00
Positions (direct):
Li  0.000  0.000  0.000
Zn  0.250  0.250  0.250
Ga  0.750  0.750  0.750
Si  0.500  0.500  0.500

Results
- total DFT energy (no corrections) (eV per cell) = -11.52
- ΔE to the lowest computed polymorph (meV per atom) = 0
- symmetry = F-43m

***

Material: LiSmGa
Method: DFT, PBE
State: relaxed

abc: 4.746 4.746 4.746
angles: 60.00 60.00 60.00
Positions (direct):
Li  0.000  0.000  0.000
Sm  0.500  0.500  0.500
Ga  0.250  0.250  0.250

Results
- M_tot (μB per formula unit) = 0.0
- total DFT energy (no corrections) (eV per cell) = -10.12
- ΔE to the lowest computed polymorph (meV per atom) = 0
- symmetry = F-43m

***

Material: LiSmGa
Method: DFT, PBE
State: relaxed

abc: 4.811 4.811 4.811
angles: 60.00 60.00 60.00
Positions (direct):
Li  0.000  0.000  0.000
Sm  0.750  0.750  0.750
Ga  0.500  0.500  0.500

Results
- M_tot (μB per formula unit) = 0.0
- total DFT energy (no corrections) (eV per cell) = -9.05
- ΔE to the lowest computed polymorph (meV per atom) = 357
- symmetry = F-43m

***

Material: Li4Zn2GaSn
Method: DFT, PBE
State: relaxed

abc: 4.421 4.421 6.266
angles: 90.00 90.00 90.00
Positions (direct):
Li  0.000  0.000  0.000
Li  0.000  0.500  0.234
Li  0.500  0.000  0.766
Li  0.500  0.500  0.500
Zn  0.000  0.500  0.770
Zn  0.500  0.000  0.230
Ga  0.500  0.500  0.000
Sn  0.000  0.000  0.500

Results
- total DFT energy (no corrections) (eV per cell) = -19.79
- symmetry = P-4m2

***

Material: LiZnGaSn
Method: DFT, PBE
State: relaxed

abc: 4.815 4.815 4.815
angles: 60.00 60.00 60.00
Positions (direct):
Li  0.000  0.000  0.000
Zn  0.250  0.250  0.250
Ga  0.750  0.750  0.750
Sn  0.500  0.500  0.500

Results
- total DFT energy (no corrections) (eV per cell) = -10.49
- ΔE to the lowest computed polymorph (meV per atom) = 29
- symmetry = F-43m

***

Material: LiZnGaSn
Method: DFT, PBE
State: relaxed

abc: 4.759 4.759 4.759
angles: 60.00 60.00 60.00
Positions (direct):
Li  0.000  0.000  0.000
Zn  0.500  0.500  0.500
Ga  0.750  0.750  0.750
Sn  0.250  0.250  0.250

Results
- total DFT energy (no corrections) (eV per cell) = -10.61
- ΔE to the lowest computed polymorph (meV per atom) = 0
- symmetry = F-43m

***

Material: LiTa2Ga
Method: DFT, PBE
State: relaxed

abc: 4.557 4.557 4.557
angles: 60.00 60.00 60.00
Positions (direct):
Li  0.000  0.000  0.000
Ta  0.250  0.250  0.250
Ta  0.500  0.500  0.500
Ga  0.750  0.750  0.750

Results
- M_tot (μB per formula unit) = 0.9
- total DFT energy (no corrections) (eV per cell) = -27.30
- symmetry = F-43m

***

Material: LiGa2Tc
Method: DFT, PBE
State: relaxed

abc: 4.299 4.299 4.299
angles: 60.00 60.00 60.00
Positions (direct):
Li  0.000  0.000  0.000
Ga  0.250  0.250  0.250
Ga  0.500  0.500  0.500
Tc  0.750  0.750  0.750

Results
- M_tot (μB per formula unit) = 0.0
- total DFT energy (no corrections) (eV per cell) = -17.88
- symmetry = F-43m

***

Material: Li2ZrGaTe4
Method: DFT, PBE
State: relaxed

abc: 7.726 7.726 7.726
angles: 129.95 129.95 73.48
Positions (direct):
Li  0.000  0.000  0.000
Li  0.750  0.250  0.500
Zr  0.500  0.500  0.000
Ga  0.250  0.750  0.500
Te  0.131  0.629  0.011
Te  0.371  0.382  0.502
Te  0.618  0.120  0.989
Te  0.880  0.869  0.498

Results
- M_tot (μB per formula unit) = 0.1
- total DFT energy (no corrections) (eV per cell) = -33.15
- symmetry = I-4

***

Material: LiThGa
Method: DFT, PBE
State: relaxed

abc: 4.868 4.868 4.868
angles: 60.00 60.00 60.00
Positions (direct):
Li  0.000  0.000  0.000
Th  0.750  0.750  0.750
Ga  0.500  0.500  0.500

Results
- M_tot (μB per formula unit) = 0.0
- total DFT energy (no corrections) (eV per cell) = -11.14
- ΔE to the lowest computed polymorph (meV per atom) = 493
- symmetry = F-43m

***

Material: LiThGa
Method: DFT, PBE
State: relaxed

abc: 4.783 4.783 4.783
angles: 60.00 60.00 60.00
Positions (direct):
Li  0.000  0.000  0.000
Th  0.500  0.500  0.500
Ga  0.250  0.250  0.250

Results
- M_tot (μB per formula unit) = 0.0
- total DFT energy (no corrections) (eV per cell) = -12.62
- ΔE to the lowest computed polymorph (meV per atom) = 0
- symmetry = F-43m

***

Material: LiTmGa4
Method: DFT, PBE
State: relaxed

abc: 5.589 5.589 5.589
angles: 134.55 105.97 91.34
Positions (direct):
Li  0.000  0.000  0.000
Tm  0.402  0.902  0.500
Ga  0.390  0.601  0.790
Ga  0.580  0.278  0.302
Ga  0.811  0.601  0.210
Ga  0.975  0.278  0.698

Results
- M_tot (μB per formula unit) = 0.0
- total DFT energy (no corrections) (eV per cell) = -21.03
- symmetry = Imm2

***

Material: LiGaW2
Method: DFT, PBE
State: relaxed

abc: 4.394 4.394 4.394
angles: 60.00 60.00 60.00
Positions (direct):
Li  0.000  0.000  0.000
Ga  0.750  0.750  0.750
W  0.250  0.250  0.250
W  0.500  0.500  0.500

Results
- M_tot (μB per formula unit) = 0.0
- total DFT energy (no corrections) (eV per cell) = -29.90
- symmetry = F-43m

***

Material: Li6ZnGa2
Method: DFT, PBE
State: relaxed

abc: 4.732 4.732 8.231
angles: 95.52 95.52 55.80
Positions (direct):
Li  0.033  0.033  0.217
Li  0.201  0.201  0.574
Li  0.321  0.321  0.913
Li  0.679  0.679  0.087
Li  0.799  0.799  0.426
Li  0.967  0.967  0.783
Zn  0.500  0.500  0.500
Ga  0.350  0.350  0.230
Ga  0.650  0.650  0.770

Results
- total DFT energy (no corrections) (eV per cell) = -20.37
- symmetry = C2/m

***

Material: LiZnGa2
Method: DFT, PBE
State: relaxed

abc: 4.491 4.491 4.491
angles: 60.00 60.00 60.00
Positions (direct):
Li  0.000  0.000  0.000
Zn  0.250  0.250  0.250
Ga  0.500  0.500  0.500
Ga  0.750  0.750  0.750

Results
- total DFT energy (no corrections) (eV per cell) = -9.67
- symmetry = F-43m

***

Material: Li4Zn3Ga
Method: DFT, PBE
State: relaxed

abc: 4.331 4.331 6.121
angles: 90.00 90.00 90.00
Positions (direct):
Li  0.000  0.000  0.000
Li  0.000  0.500  0.750
Li  0.500  0.000  0.250
Li  0.500  0.500  0.500
Zn  0.000  0.000  0.500
Zn  0.000  0.500  0.250
Zn  0.500  0.000  0.750
Ga  0.500  0.500  0.000

Results
- total DFT energy (no corrections) (eV per cell) = -16.57
- symmetry = P-4m2

***

Material: LiZrGa
Method: DFT, PBE
State: relaxed

abc: 4.223 4.223 4.223
angles: 60.00 60.00 60.00
Positions (direct):
Li  0.000  0.000  0.000
Zr  0.250  0.250  0.250
Ga  0.750  0.750  0.750

Results
- M_tot (μB per formula unit) = 0.0
- total DFT energy (no corrections) (eV per cell) = -13.42
- symmetry = F-43m

***

Material: Lu2Ga
Method: DFT, PBE
State: relaxed

abc: 6.070 6.070 6.070
angles: 60.00 60.00 60.00
Positions (direct):
Lu  0.000  0.000  0.000
Lu  0.000  0.000  0.500
Lu  0.000  0.500  0.000
Lu  0.500  0.000  0.000
Ga  0.375  0.375  0.375
Ga  0.625  0.625  0.625

Results
- M_tot (μB per formula unit) = 0.0
- total DFT energy (no corrections) (eV per cell) = -22.20
- symmetry = Fd-3m

***

Material: LuGa2
Method: DFT, PBE
State: relaxed

abc: 5.436 5.436 5.436
angles: 60.00 60.00 60.00
Positions (direct):
Lu  0.125  0.125  0.125
Lu  0.875  0.875  0.875
Ga  0.000  0.500  0.500
Ga  0.500  0.000  0.500
Ga  0.500  0.500  0.000
Ga  0.500  0.500  0.500

Results
- M_tot (μB per formula unit) = 0.0
- total DFT energy (no corrections) (eV per cell) = -24.16
- symmetry = Fd-3m

***

Material: Lu5Ga3
Method: DFT, PBE
State: relaxed

abc: 8.432 8.432 6.284
angles: 90.00 90.00 120.00
Positions (direct):
Lu  0.000  0.242  0.250
Lu  0.000  0.758  0.750
Lu  0.242  0.000  0.250
Lu  0.242  0.242  0.750
Lu  0.333  0.667  0.000
Lu  0.333  0.667  0.500
Lu  0.667  0.333  0.000
Lu  0.667  0.333  0.500
Lu  0.758  0.000  0.750
Lu  0.758  0.758  0.250
Ga  0.000  0.401  0.750
Ga  0.000  0.599  0.250
Ga  0.401  0.000  0.750
Ga  0.401  0.401  0.250
Ga  0.599  0.000  0.250
Ga  0.599  0.599  0.750

Results
- M_tot (μB per formula unit) = 0.0
- total DFT energy (no corrections) (eV per cell) = -71.15
- symmetry = P6_3/mcm

***

Material: Lu2Ga
Method: DFT, PBE
State: relaxed

abc: 8.688 8.688 8.688
angles: 60.00 60.00 60.00
Positions (direct):
Lu  0.000  0.000  0.000
Lu  0.000  0.000  0.500
Lu  0.000  0.500  0.000
Lu  0.500  0.000  0.000
Ga  0.125  0.125  0.125
Ga  0.875  0.875  0.875

Results
- M_tot (μB per formula unit) = 0.0
- total DFT energy (no corrections) (eV per cell) = -16.73
- symmetry = Fd-3m

***

Material: LuGa2
Method: DFT, PBE
State: relaxed

abc: 9.450 9.450 9.450
angles: 60.00 60.00 60.00
Positions (direct):
Lu  0.125  0.125  0.125
Lu  0.875  0.875  0.875
Ga  0.000  0.000  0.000
Ga  0.000  0.000  0.500
Ga  0.000  0.500  0.000
Ga  0.500  0.000  0.000

Results
- M_tot (μB per formula unit) = 3.2
- total DFT energy (no corrections) (eV per cell) = -13.17
- symmetry = Fd-3m

***

Material: Lu2MgGa
Method: DFT, PBE
State: relaxed

abc: 5.132 5.132 5.132
angles: 60.00 60.00 60.00
Positions (direct):
Lu  0.000  0.000  0.000
Lu  0.250  0.250  0.250
Mg  0.750  0.750  0.750
Ga  0.500  0.500  0.500

Results
- M_tot (μB per formula unit) = 0.0
- total DFT energy (no corrections) (eV per cell) = -13.55
- symmetry = F-43m

***

Material: LuMgGa
Method: DFT, PBE
State: relaxed

abc: 4.832 4.832 4.832
angles: 60.00 60.00 60.00
Positions (direct):
Lu  0.000  0.000  0.000
Mg  0.750  0.750  0.750
Ga  0.250  0.250  0.250

Results
- M_tot (μB per formula unit) = 0.0
- total DFT energy (no corrections) (eV per cell) = -8.32
- symmetry = F-43m

***

Material: LuMgGaPd
Method: DFT, PBE
State: relaxed

abc: 4.695 4.695 4.695
angles: 60.00 60.00 60.00
Positions (direct):
Lu  0.000  0.000  0.000
Mg  0.750  0.750  0.750
Ga  0.500  0.500  0.500
Pd  0.250  0.250  0.250

Results
- M_tot (μB per formula unit) = 0.0
- total DFT energy (no corrections) (eV per cell) = -16.32
- ΔE to the lowest computed polymorph (meV per atom) = 133
- symmetry = F-43m

***

Material: LuMgGaPd
Method: DFT, PBE
State: relaxed

abc: 4.690 4.690 4.690
angles: 60.00 60.00 60.00
Positions (direct):
Lu  0.000  0.000  0.000
Mg  0.750  0.750  0.750
Ga  0.250  0.250  0.250
Pd  0.500  0.500  0.500

Results
- M_tot (μB per formula unit) = 0.0
- total DFT energy (no corrections) (eV per cell) = -16.24
- ΔE to the lowest computed polymorph (meV per atom) = 155
- symmetry = F-43m

***

Material: LuMgGaPd
Method: DFT, PBE
State: relaxed

abc: 4.754 4.754 4.754
angles: 60.00 60.00 60.00
Positions (direct):
Lu  0.000  0.000  0.000
Mg  0.500  0.500  0.500
Ga  0.750  0.750  0.750
Pd  0.250  0.250  0.250

Results
- M_tot (μB per formula unit) = 0.0
- total DFT energy (no corrections) (eV per cell) = -16.85
- ΔE to the lowest computed polymorph (meV per atom) = 0
- symmetry = F-43m

***

Material: LuGaMo2
Method: DFT, PBE
State: relaxed

abc: 4.625 4.625 4.625
angles: 60.00 60.00 60.00
Positions (direct):
Lu  0.000  0.000  0.000
Ga  0.750  0.750  0.750
Mo  0.250  0.250  0.250
Mo  0.500  0.500  0.500

Results
- M_tot (μB per formula unit) = 0.0
- total DFT energy (no corrections) (eV per cell) = -29.36
- symmetry = F-43m

***

Material: LuGa2Mo
Method: DFT, PBE
State: relaxed

abc: 4.669 4.669 4.669
angles: 60.00 60.00 60.00
Positions (direct):
Lu  0.000  0.000  0.000
Ga  0.250  0.250  0.250
Ga  0.500  0.500  0.500
Mo  0.750  0.750  0.750

Results
- M_tot (μB per formula unit) = 0.2
- total DFT energy (no corrections) (eV per cell) = -20.51
- symmetry = F-43m